[1]
First-principles (PBE) data for Sm8Tm2Th3 after structural relaxation, as listed in Alexandria via LeMat-Bulk.

a = 10.747 Å, b = 10.747 Å, c = 5.703 Å
α = 90.03°, β = 90.03°, γ = 43.01°
Fractional positions:
1 Sm 0.099 0.686 0.999
2 Sm 0.170 0.170 0.501
3 Sm 0.314 0.901 0.001
4 Sm 0.370 0.370 0.500
5 Sm 0.630 0.630 0.500
6 Sm 0.686 0.099 0.999
7 Sm 0.830 0.830 0.499
8 Sm 0.901 0.314 0.001
9 Tm 0.260 0.260 0.001
10 Tm 0.740 0.740 0.999
11 Th 0.208 0.792 0.500
12 Th 0.500 0.500 0.000
13 Th 0.792 0.208 0.500

Summary:
energy of formation from the pure elements	0.263	eV per atom
space group	C2/m (12)
magnetic moment	0.0	μB/f.u.



[2]
First-principles (PBE) data for SmTmTh2 after structural relaxation, as listed in Alexandria via LeMat-Bulk.

a = 5.661 Å, b = 5.661 Å, c = 5.661 Å
α = 60.00°, β = 60.00°, γ = 60.00°
Fractional positions:
1 Sm 0.000 0.000 0.000
2 Tm 0.500 0.500 0.500
3 Th 0.250 0.250 0.250
4 Th 0.750 0.750 0.750

Summary:
energy of formation from the pure elements	0.161	eV per atom
space group	Fm-3m (225)
magnetic moment	0.0	μB/f.u.
energy relative to the lowest polymorph listed for this composition	131	meV per atom



[3]
First-principles (PBE) data for Sm4Tm2Th after structural relaxation, as listed in Alexandria via LeMat-Bulk.

a = 3.600 Å, b = 3.600 Å, c = 20.447 Å
α = 95.20°, β = 95.20°, γ = 59.96°
Fractional positions:
1 Sm 0.000 0.000 0.000
2 Sm 0.091 0.091 0.279
3 Sm 0.521 0.521 0.562
4 Sm 0.616 0.616 0.852
5 Tm 0.712 0.712 0.139
6 Tm 0.804 0.804 0.421
7 Th 0.901 0.901 0.708

Summary:
energy of formation from the pure elements	0.038	eV per atom
space group	Cm (8)
magnetic moment	0.0	μB/f.u.
energy relative to the lowest polymorph listed for this composition	0	meV per atom



[4]
First-principles (PBE) data for SmTmTh2 after structural relaxation, as listed in Alexandria via LeMat-Bulk.

a = 5.009 Å, b = 5.009 Å, c = 5.115 Å
α = 90.00°, β = 90.00°, γ = 90.00°
Fractional positions:
1 Sm 0.000 0.000 0.000
2 Tm 0.500 0.500 0.000
3 Th 0.000 0.500 0.500
4 Th 0.500 0.000 0.500

Summary:
energy of formation from the pure elements	0.055	eV per atom
space group	P4/mmm (123)
magnetic moment	0.0	μB/f.u.
energy relative to the lowest polymorph listed for this composition	25	meV per atom



[5]
First-principles (PBE) data for Sm5Tm2Th after structural relaxation, as listed in Alexandria via LeMat-Bulk.

a = 7.173 Å, b = 14.353 Å, c = 5.068 Å
α = 90.00°, β = 90.00°, γ = 90.00°
Fractional positions:
1 Sm 0.000 0.000 0.000
2 Sm 0.006 0.251 0.000
3 Sm 0.248 0.376 0.500
4 Sm 0.252 0.876 0.500
5 Sm 0.494 0.751 0.000
6 Sm 0.500 0.500 0.000
7 Sm 0.506 0.249 0.000
8 Sm 0.748 0.124 0.500
9 Sm 0.752 0.624 0.500
10 Sm 0.994 0.749 0.000
11 Tm 0.241 0.623 0.500
12 Tm 0.259 0.123 0.500
13 Tm 0.741 0.877 0.500
14 Tm 0.759 0.377 0.500
15 Th 0.000 0.500 0.000
16 Th 0.500 0.000 0.000

Summary:
energy of formation from the pure elements	0.026	eV per atom
space group	Pbam (55)
magnetic moment	0.0	μB/f.u.



[6]
First-principles (PBE) data for SmTm8Th4 after structural relaxation, as listed in Alexandria via LeMat-Bulk.

a = 9.740 Å, b = 9.740 Å, c = 9.740 Å
α = 44.20°, β = 44.20°, γ = 44.20°
Fractional positions:
1 Sm 0.000 0.000 0.000
2 Tm 0.251 0.251 0.688
3 Tm 0.251 0.688 0.251
4 Tm 0.279 0.279 0.279
5 Tm 0.312 0.749 0.749
6 Tm 0.688 0.251 0.251
7 Tm 0.721 0.721 0.721
8 Tm 0.749 0.312 0.749
9 Tm 0.749 0.749 0.312
10 Th 0.000 0.000 0.500
11 Th 0.000 0.500 0.000
12 Th 0.500 0.000 0.000
13 Th 0.500 0.500 0.500

Summary:
energy of formation from the pure elements	0.221	eV per atom
space group	R-3m (166)
magnetic moment	0.0	μB/f.u.



[7]
First-principles (PBE) data for Sm4Tm5Th after structural relaxation, as listed in Alexandria via LeMat-Bulk.

a = 7.891 Å, b = 7.891 Å, c = 7.891 Å
α = 99.15°, β = 99.15°, γ = 132.99°
Fractional positions:
1 Sm 0.047 0.345 0.392
2 Sm 0.345 0.953 0.298
3 Sm 0.655 0.047 0.702
4 Sm 0.953 0.655 0.608
5 Tm 0.244 0.244 0.000
6 Tm 0.271 0.648 0.919
7 Tm 0.353 0.271 0.623
8 Tm 0.648 0.729 0.377
9 Tm 0.729 0.353 0.081
10 Th 0.775 0.775 0.000

Summary:
energy of formation from the pure elements	0.322	eV per atom
space group	I4 (79)
magnetic moment	0.0	μB/f.u.
energy relative to the lowest polymorph listed for this composition	239	meV per atom



[8]
First-principles (PBE) data for Sm2Tm2Th after structural relaxation, as listed in Alexandria via LeMat-Bulk.

a = 14.547 Å, b = 14.547 Å, c = 14.547 Å
α = 14.12°, β = 14.12°, γ = 14.12°
Fractional positions:
1 Sm 0.201 0.201 0.201
2 Sm 0.799 0.799 0.799
3 Tm 0.398 0.398 0.398
4 Tm 0.602 0.602 0.602
5 Th 0.000 0.000 0.000

Summary:
energy of formation from the pure elements	0.014	eV per atom
space group	R-3m (166)
magnetic moment	0.0	μB/f.u.
energy relative to the lowest polymorph listed for this composition	0	meV per atom



What did the fifth record say?
First-principles (PBE) data for Sm5Tm2Th after structural relaxation, as listed in Alexandria via LeMat-Bulk.

a = 7.173 Å, b = 14.353 Å, c = 5.068 Å
α = 90.00°, β = 90.00°, γ = 90.00°
Fractional positions:
1 Sm 0.000 0.000 0.000
2 Sm 0.006 0.251 0.000
3 Sm 0.248 0.376 0.500
4 Sm 0.252 0.876 0.500
5 Sm 0.494 0.751 0.000
6 Sm 0.500 0.500 0.000
7 Sm 0.506 0.249 0.000
8 Sm 0.748 0.124 0.500
9 Sm 0.752 0.624 0.500
10 Sm 0.994 0.749 0.000
11 Tm 0.241 0.623 0.500
12 Tm 0.259 0.123 0.500
13 Tm 0.741 0.877 0.500
14 Tm 0.759 0.377 0.500
15 Th 0.000 0.500 0.000
16 Th 0.500 0.000 0.000

Summary:
energy of formation from the pure elements	0.026	eV per atom
space group	Pbam (55)
magnetic moment	0.0	μB/f.u.



Number 6 is which compound? SmTm8Th4



Which formula does entry 8 have? Sm2Tm2Th